# MgTeI2O | Alexandria via LeMat-Bulk | GGA-PBE | relaxed
# * polymorph energy (0 for the lowest one): 498.2 meV/atom
# * volume: 25.77 Å³ per atom
# * raw formation energy: 0.10 eV per atom
data_MgTeI2O
_cell_length_a 5.252
_cell_length_b 5.252
_cell_length_c 4.672
_cell_angle_alpha 90.00
_cell_angle_beta 90.00
_cell_angle_gamma 90.00
_space_group_name_H-M_alt 'P 4/m m m'
_space_group_IT_number 123
_space_group_name_Hall '-P 4 2'
loop_
_atom_site_label
_atom_site_type_symbol
_atom_site_fract_x
_atom_site_fract_y
_atom_site_fract_z
Mg1 Mg 0.000 0.000 0.000
Te1 Te 0.500 0.500 0.000
I1 I 0.000 0.500 0.500
O1 O 0.500 0.500 0.500